## V2Pd9Pt (PBE-GGA)

Data for a relaxed structure of V2Pd9Pt.

abc: 3.9087 3.9087 11.7636
angles: 90.00 90.00 90.00
Space group P4/mmm (No. 123)
Inequivalent atoms, fractional coordinates:
V: 0.0000 0.0000 0.1723 [2 per cell]
Pd: 0.0000 0.5000 0.0000 [2 per cell]
Pd: 0.0000 0.5000 0.3242 [4 per cell]
Pd: 0.5000 0.5000 0.1620 [2 per cell]
Pd: 0.5000 0.5000 0.5000 [1 per cell]
Pt: 0.0000 0.0000 0.5000 [1 per cell]

Results
calculated formation energy: -2.31 eV/f.u.
crystal system: tetragonal
volume: 180 Å³/cell